[1]
Here is a geometry-optimized Zr2ZnCo5B2 structure from Alexandria. Energies are from PBE.

abc: 8.7230 8.7230 3.0701
angles: 90.00 90.00 90.00
Space group P4/mbm (No. 127)
Inequivalent atoms, fractional coordinates:
Zr: 0.1775 0.3225 0.0000 x4
Zn: 0.0000 0.0000 0.0000 x2
Co: 0.0000 0.5000 0.5000 x2
Co: 0.0687 0.7754 0.5000 x8
B: 0.1189 0.6189 0.0000 x4

Calculated values
Mass density, kg/m³: 8020
Formation energy, eV per atom: -0.48
Total energy, eV/cell: -144.1


[2]
Here is a geometry-optimized ZrCo5B2 structure from Alexandria. Energies are from PBE.

abc: 3.3815 6.1486 8.1493
angles: 90.00 90.00 90.00
Space group Immm (No. 71)
Inequivalent atoms, fractional coordinates:
Zr: 0.0000 0.0000 0.0000 x2
Co: 0.0000 0.1915 0.3465 x8
Co: 0.0000 0.5000 0.0000 x2
B: 0.0000 0.5000 0.2471 x4

Calculated values
Mass density, kg/m³: 7988
Formation energy, eV per atom: -0.32
Total energy, eV/cell: -120.1


[3]
Here is a geometry-optimized Zr3CoB structure from Alexandria. Energies are from PBE.

abc: 4.5523 4.5523 4.5523
angles: 90.00 90.00 90.00
Space group Pm-3m (No. 221)
Inequivalent atoms, fractional coordinates:
Zr: 0.0000 0.0000 0.5000 x3
Co: 0.5000 0.5000 0.5000 x1
B: 0.0000 0.0000 0.0000 x1

Calculated values
Mass density, kg/m³: 6045
ΔE to the lowest computed polymorph, meV per atom: 0
Formation energy, eV per atom: 0.15
Total energy, eV/cell: -38.7


[4]
Here is a geometry-optimized ZrCo7B5 structure from Alexandria. Energies are from PBE.

abc: 4.4112 7.4168 7.2907
angles: 90.00 90.00 90.00
Space group Imm2 (No. 44)
Inequivalent atoms, fractional coordinates:
Zr: 0.0000 0.0000 0.0000 x2
Co: 0.0000 0.0000 0.3397 x2
Co: 0.0000 0.0000 0.6561 x2
Co: 0.0000 0.2910 0.4772 x4
Co: 0.0000 0.3426 0.0391 x4
Co: 0.0000 0.5000 0.7417 x2
B: 0.0000 0.5000 0.2775 x2
B: 0.2125 0.2500 0.7525 x8

Calculated values
Mass density, kg/m³: 7766
Formation energy, eV per atom: -0.15
Total energy, eV/cell: -187.2


[5]
Here is a geometry-optimized ZrCoB2 structure from Alexandria. Energies are from PBE.

abc: 3.7772 3.7772 13.3783
angles: 90.00 90.00 90.00
Space group I4_1/amd (No. 141, origin choice 2)
Inequivalent atoms, fractional coordinates:
Zr: 0.0000 0.2500 0.3750 x4
Co: 0.0000 0.2500 0.8750 x4
B: 0.0000 0.0000 0.0000 x8

Calculated values
Mass density, kg/m³: 5978
Formation energy, eV per atom: -0.26
Total energy, eV/cell: -120.2


[6]
Here is a geometry-optimized ZrCo3B2 structure from Alexandria. Energies are from PBE.

abc: 8.1350 8.1350 3.2867
angles: 90.00 90.00 120.00
Space group P6/mmm (No. 191)
Inequivalent atoms, fractional coordinates:
Zr: 0.0000 0.0000 0.0000 x1
Zr: 0.3333 0.6667 0.5000 x2
Co: 0.0000 0.2848 0.5000 x6
Co: 0.0000 0.5000 0.0000 x3
B: 0.1918 0.3837 0.0000 x6

Calculated values
Mass density, kg/m³: 7660
ΔE to the lowest computed polymorph, meV per atom: 123
Formation energy, eV per atom: -0.45
Total energy, eV/cell: -137.7


[7]
Here is a geometry-optimized ZrCo3B2 structure from Alexandria. Energies are from PBE.

abc: 8.4165 8.4165 9.0479
angles: 90.00 90.00 120.00
Space group R-3m (No. 166, hexagonal axes)
Inequivalent atoms, fractional coordinates:
Zr: 0.0000 0.0000 0.0000 x3
Zr: 0.0000 0.0000 0.3301 x6
Co: 0.0000 0.5000 0.5000 x9
Co: 0.0012 0.5006 0.1944 x18
B: 0.0000 0.3757 0.0000 x18

Calculated values
Mass density, kg/m³: 7799
ΔE to the lowest computed polymorph, meV per atom: 0
Formation energy, eV per atom: -0.57
Total energy, eV/cell: -419.7


[8]
Here is a geometry-optimized Zr2CoB structure from Alexandria. Energies are from PBE.

abc: 6.4881 6.4881 6.3709
angles: 90.00 90.00 90.00
Space group I-42d (No. 122)
Inequivalent atoms, fractional coordinates:
Zr: 0.2315 0.7500 0.1250 x8
Co: 0.0000 0.0000 0.5000 x4
B: 0.0000 0.0000 0.0000 x4

Calculated values
Mass density, kg/m³: 6246
Formation energy, eV per atom: 0.24
Total energy, eV/cell: -119.7